A geometry-optimized TbHf2N3 structure. Source: OQMD, functional PBE-GGA.

The volume is 74.9 Å³/cell. The size of the total moment is 0.0 μB per formula unit. The final energy is -10.02 eV per atom.

The structure belongs to space group P-3m1 (No. 164); the cell edges are 3.2660, 3.2660 and 8.1029 Å and the angles 90.00°, 90.00° and 120.00°. The asymmetric unit holds Tb at (0.0000, 0.0000, 0.0000), Hf at (0.3333, 0.6667, 0.3381), N at (0.0000, 0.0000, 0.5000) and N at (0.3333, 0.6667, 0.8094).